[1]
## NdB2Os (PBE-GGA)

Data for crystalline NdB2Os at its relaxed geometry.

Output
Energy of formation, eV/f.u.: -1.3
D(E_F), states/eV/f.u.: 1.91
Distance to the lowest polymorph of the same formula, eV/atom: 0.000
Raw total energy, eV per cell: -122.5

a = 5.5974 Å, b = 3.8574 Å, c = 11.4459 Å
α = 90.00°, β = 90.00°, γ = 90.00°
With the nearest neighbours (Å) after each atom.
Space group Pnma (No. 62)
Symmetry-distinct sites (fractional):
1 Nd 0.1259 0.2500 0.1288 x4  6 B 2.75-3.02
2 B 0.1290 0.2500 0.7512 x4  2 Os 2.00-2.01
3 B 0.1381 0.2500 0.4535 x4  2 Os 2.13
4 Os 0.1200 0.7500 0.3751 x4  4 B 2.00-2.13


[2]
## Nd2B4Os3 (PBE-GGA)

Data for crystalline Nd2B4Os3 at its relaxed geometry.

Output
Energy of formation, eV/f.u.: 1.3
D(E_F), states/eV/f.u.: 5.59
Raw total energy, eV per cell: -274.7

a = 5.6422 Å, b = 9.4744 Å, c = 10.6876 Å
α = 90.00°, β = 90.00°, γ = 90.00°
With the nearest neighbours (Å) after each atom.
Space group Fmmm (No. 69)
Symmetry-distinct sites (fractional):
1 Nd 0.0000 0.0000 0.1559 x8  4 B 2.81-3.08
2 B 0.0000 0.1756 0.3678 x16  3 Os 2.12-2.18
3 Os 0.0000 0.0000 0.5000 x4  4 B 2.18
4 Os 0.2500 0.2500 0.0000 x8  4 B 2.12


[3]
## NdB3Os2 (PBE-GGA)

Data for crystalline NdB3Os2 at its relaxed geometry.

Output
Energy of formation, eV/f.u.: -0.4
D(E_F), states/eV/f.u.: 2.03
Raw total energy, eV per cell: -190.6

a = 5.3340 Å, b = 10.0474 Å, c = 5.9191 Å
α = 90.00°, β = 90.00°, γ = 90.00°
With the nearest neighbours (Å) after each atom.
Space group Imma (No. 74)
Symmetry-distinct sites (fractional):
1 Nd 0.0000 0.2500 0.1447 x4  6 B 2.69-2.80, 2 Nd 2.94
2 B 0.1679 0.0000 0.0000 x8  1 B 1.79
3 B 0.2500 0.2500 0.7500 x4  4 Os 2.15
4 Os 0.0000 0.0856 0.6900 x8  6 B 2.15-2.27


[4]
## NdB2Os (PBE-GGA)

Data for crystalline NdB2Os at its relaxed geometry.

Output
Energy of formation, eV/f.u.: -0.6
D(E_F), states/eV/f.u.: 2.17
Distance to the lowest polymorph of the same formula, eV/atom: 0.177
Raw total energy, eV per cell: -89.7

a = 3.7083 Å, b = 3.7083 Å, c = 14.7548 Å
α = 90.00°, β = 90.00°, γ = 120.00°
With the nearest neighbours (Å) after each atom.
Space group R-3m (No. 166, hexagonal axes)
Symmetry-distinct sites (fractional):
1 Nd 0.0000 0.0000 0.0000 x3  8 B 2.88-2.99
2 B 0.0000 0.0000 0.2025 x6  3 Os 2.21, 3 B 2.39
3 Os 0.0000 0.0000 0.5000 x3  6 B 2.21


[5]
## NdB4Os4 (PBE-GGA)

Data for crystalline NdB4Os4 at its relaxed geometry.

Output
Energy of formation, eV/f.u.: -3.4
D(E_F), states/eV/f.u.: 6.84
Raw total energy, eV per cell: -159.6

a = 7.6276 Å, b = 7.6276 Å, c = 4.0090 Å
α = 90.00°, β = 90.00°, γ = 90.00°
With the nearest neighbours (Å) after each atom.
Space group P4_2/n (No. 86, origin choice 2)
Symmetry-distinct sites (fractional):
1 Nd 0.2500 0.2500 0.2500 x2  8 B 2.93-3.09, 8 Os 3.22-3.23
2 B 0.0310 0.5856 0.1391 x8  1 B 1.78
3 Os 0.1039 0.8565 0.1379 x8  4 B 2.14-2.19


[6]
## NdB2OsRu (PBE-GGA)

Data for crystalline NdB2OsRu at its relaxed geometry.

Output
Energy of formation, eV/f.u.: -2.0
D(E_F), states/eV/f.u.: 2.98
Raw total energy, eV per cell: -81.3

a = 4.0307 Å, b = 4.0307 Å, c = 9.7883 Å
α = 90.00°, β = 90.00°, γ = 90.00°
With the nearest neighbours (Å) after each atom.
Space group I-4m2 (No. 119)
Symmetry-distinct sites (fractional):
1 Nd 0.0000 0.0000 0.0000 x2  10 B 3.11-3.36, 4 Os 3.17, 4 Ru 3.17
2 B 0.0000 0.0000 0.3179 x4  2 Ru 2.12, 2 Os 2.12
3 Os 0.0000 0.5000 0.2500 x2  4 B 2.12
4 Ru 0.0000 0.5000 0.7500 x2  4 B 2.12


[7]
## NdSi2BOs2 (PBE-GGA)

Data for crystalline NdSi2BOs2 at its relaxed geometry.

Output
ΔE_f (raw), eV per atom: -0.52
D(E_F), states/eV/f.u.: 2.65
Raw total energy, eV per cell: -47.8

a = 4.1699 Å, b = 4.1699 Å, c = 5.3772 Å
α = 90.00°, β = 90.00°, γ = 90.00°
With the nearest neighbours (Å) after each atom.
Space group P4/mmm (No. 123)
Symmetry-distinct sites (fractional):
1 Nd 0.0000 0.0000 0.0000 x1  2 B 2.69
2 Si 0.5000 0.5000 0.2232 x2  1 Si 2.40, 4 Os 2.56
3 B 0.0000 0.0000 0.5000 x1  4 Os 2.08
4 Os 0.0000 0.5000 0.5000 x2  2 B 2.08


[8]
## Nd2Si2BOs2 (PBE-GGA)

Data for crystalline Nd2Si2BOs2 at its relaxed geometry.

Output
ΔE_f (raw), eV per atom: -0.71
D(E_F), states/eV/f.u.: 3.08
Raw total energy, eV per cell: -109.0

a = 11.1072 Å, b = 4.2236 Å, c = 7.1756 Å
α = 90.00°, β = 129.09°, γ = 90.00°
With the nearest neighbours (Å) after each atom.
Space group C2/m (No. 12)
Symmetry-distinct sites (fractional):
1 Nd 0.0660 0.0000 0.3280 x4  2 B 2.77
2 Si 0.1621 0.5000 0.1040 x4  3 Os 2.40-2.43
3 B 0.0000 0.5000 0.5000 x2  2 Os 1.98
4 Os 0.2103 0.5000 0.8180 x4  1 B 1.98


[9]
## NdBP2 (PBE-GGA)

Data for crystalline NdBP2 at its relaxed geometry.

Output
Energy of formation, eV/f.u.: -1.7
D(E_F), states/eV/f.u.: 1.54
Distance to the lowest polymorph of the same formula, eV/atom: 0.000
Raw total energy, eV per cell: -48.0

a = 4.8990 Å, b = 4.8977 Å, c = 6.1455 Å
α = 90.00°, β = 113.39°, γ = 90.00°
With the nearest neighbours (Å) after each atom.
Space group C2 (No. 5)
Symmetry-distinct sites (fractional):
1 Nd 0.0000 0.0000 0.0000 x2  8 P 2.98-2.99, 4 B 3.31
2 B 0.0000 0.7513 0.5000 x2  4 P 2.06
3 P 0.1516 0.5007 0.3032 x4  2 B 2.06


[10]
## NdBP2 (PBE-GGA)

Data for crystalline NdBP2 at its relaxed geometry.

Output
Energy of formation, eV/f.u.: -1.4
Distance to the lowest polymorph of the same formula, eV/atom: 0.075
Raw total energy, eV per cell: -71.1

a = 4.5120 Å, b = 4.5120 Å, c = 18.9562 Å
α = 90.00°, β = 90.00°, γ = 120.00°
With the nearest neighbours (Å) after each atom.
Space group R-3m (No. 166, hexagonal axes)
Symmetry-distinct sites (fractional):
1 Nd 0.0000 0.0000 0.0000 x3  6 P 2.95
2 B 0.0000 0.0000 0.5000 x3  2 P 1.77
3 P 0.0000 0.0000 0.4066 x6  1 B 1.77


[11]
## NdBP (PBE-GGA)

Data for crystalline NdBP at its relaxed geometry.

Output
Energy of formation, eV/f.u.: -0.1
D(E_F), states/eV/f.u.: 1.42
Distance to the lowest polymorph of the same formula, eV/atom: 0.465
Raw total energy, eV per cell: -67.8

a = 3.7300 Å, b = 21.9993 Å, c = 3.2325 Å
α = 90.00°, β = 90.00°, γ = 90.00°
With the nearest neighbours (Å) after each atom.
Space group Cmcm (No. 63)
Symmetry-distinct sites (fractional):
1 Nd 0.0000 0.0860 0.2500 x4  4 B 2.79, 2 P 2.95
2 B 0.0000 0.3552 0.2500 x4  2 P 1.90
3 P 0.0000 0.3099 0.7500 x4  2 B 1.90


[12]
## NdBP (PBE-GGA)

Data for crystalline NdBP at its relaxed geometry.

Output
Energy of formation, eV/f.u.: -1.5
D(E_F), states/eV/f.u.: 1.51
Distance to the lowest polymorph of the same formula, eV/atom: 0.000
Raw total energy, eV per cell: -73.4

a = 10.2827 Å, b = 3.4202 Å, c = 7.2123 Å
α = 90.00°, β = 116.06°, γ = 90.00°
With the nearest neighbours (Å) after each atom.
Space group C2/m (No. 12)
Symmetry-distinct sites (fractional):
1 Nd 0.2062 0.0000 0.2364 x4  4 P 2.79-2.97, 2 B 2.80-3.00
2 B 0.0078 0.5000 0.3866 x4  1 B 1.71
3 P 0.0696 0.0000 0.7775 x4  2 B 2.03


[13]
## Nd2BPRh6 (PBE-GGA)

Data for crystalline Nd2BPRh6 at its relaxed geometry.

Output
Energy of formation, eV/f.u.: -7.2
D(E_F), states/eV/f.u.: 1.34
Raw total energy, eV per cell: -72.9

a = 4.3896 Å, b = 4.3896 Å, c = 8.6972 Å
α = 90.00°, β = 90.00°, γ = 90.00°
With the nearest neighbours (Å) after each atom.
Space group P4/mmm (No. 123)
Symmetry-distinct sites (fractional):
1 Nd 0.0000 0.0000 0.2388 x2  12 Rh 3.02-3.16
2 B 0.5000 0.5000 0.0000 x1  6 Rh 2.08-2.19
3 P 0.5000 0.5000 0.5000 x1  6 Rh 2.19-2.27
4 Rh 0.0000 0.5000 0.0000 x2  2 B 2.19
5 Rh 0.0000 0.5000 0.5000 x2  2 P 2.19
6 Rh 0.5000 0.5000 0.2392 x2  1 B 2.08, 1 P 2.27


[14]
## Nd3B2PRh9 (PBE-GGA)

Data for crystalline Nd3B2PRh9 at its relaxed geometry.

Output
Energy of formation, eV/f.u.: -11.3
D(E_F), states/eV/f.u.: 9.55
Raw total energy, eV per cell: -110.5

a = 6.1236 Å, b = 6.1236 Å, c = 7.4968 Å
α = 90.00°, β = 90.00°, γ = 120.00°
With the nearest neighbours (Å) after each atom.
Space group P-3m1 (No. 164)
Symmetry-distinct sites (fractional):
1 Nd 0.0000 0.0000 0.0000 x1  12 Rh 3.06
2 Nd 0.3333 0.6667 0.6699 x2  12 Rh 3.04-3.09
3 B 0.3333 0.6667 0.1515 x2  6 Rh 2.10-2.13
4 P 0.0000 0.0000 0.5000 x1  6 Rh 2.26
5 Rh 0.0000 0.5000 0.0000 x3  2 B 2.10
6 Rh 0.1740 0.3480 0.3255 x6  1 B 2.13, 1 P 2.26


[15]
## NdBPRh3 (PBE-GGA)

Data for crystalline NdBPRh3 at its relaxed geometry.

Output
Energy of formation, eV/f.u.: -4.6
D(E_F), states/eV/f.u.: 2.06
Raw total energy, eV per cell: -173.9

a = 5.7757 Å, b = 11.7210 Å, c = 5.7254 Å
α = 90.00°, β = 90.00°, γ = 90.00°
With the nearest neighbours (Å) after each atom.
Space group Cmcm (No. 63)
Symmetry-distinct sites (fractional):
1 Nd 0.0000 0.2398 0.2500 x4  4 Rh 2.95-2.98, 1 B 3.19, 2 P 3.20
2 B 0.0000 0.4878 0.7500 x4  5 Rh 2.07-2.09
3 P 0.0000 0.1174 0.7500 x4  5 Rh 2.25-2.43
4 Rh 0.0000 0.3097 0.7500 x4  1 B 2.09, 1 P 2.25
5 Rh 0.2425 0.0000 0.0000 x8  2 B 2.07


[16]
## NdPa2B (PBE-GGA)

Data for crystalline NdPa2B at its relaxed geometry.

Output
Energy of formation, eV/f.u.: 0.7
D(E_F), states/eV/f.u.: 6.71
Raw total energy, eV per cell: -89.3

a = 3.4457 Å, b = 3.4457 Å, c = 28.4776 Å
α = 90.00°, β = 90.00°, γ = 120.00°
With the nearest neighbours (Å) after each atom.
Space group R-3m (No. 166, hexagonal axes)
Symmetry-distinct sites (fractional):
1 Nd 0.0000 0.0000 0.0000 x3  2 Pa 3.26, 6 Nd 3.45
2 Pa 0.0000 0.0000 0.1143 x6  3 B 2.49
3 B 0.0000 0.0000 0.5000 x3  6 Pa 2.49


[17]
## NdPaB12 (PBE-GGA)

Data for crystalline NdPaB12 at its relaxed geometry.

Output
Energy of formation, eV/f.u.: -5.9
D(E_F), states/eV/f.u.: 3.86
Raw total energy, eV per cell: -100.3

a = 4.0990 Å, b = 4.0990 Å, c = 8.2158 Å
α = 90.00°, β = 90.00°, γ = 90.00°
With the nearest neighbours (Å) after each atom.
Space group P4/mmm (No. 123)
Symmetry-distinct sites (fractional):
1 Nd 0.0000 0.0000 0.0000 x1  24 B 3.01-3.02
2 Pa 0.0000 0.0000 0.5000 x1  24 B 3.00-3.01
3 B 0.1979 0.5000 0.2521 x8  5 B 1.62-1.76
4 B 0.5000 0.5000 0.1001 x2  5 B 1.64-1.76
5 B 0.5000 0.5000 0.4020 x2  5 B 1.61-1.75


[18]
## NdB12Pb (PBE-GGA)

Data for crystalline NdB12Pb at its relaxed geometry.

Output
Energy of formation, eV/f.u.: -2.3
D(E_F), states/eV/f.u.: 3.06
Raw total energy, eV per cell: -363.7

a = 8.3551 Å, b = 8.3551 Å, c = 8.3551 Å
α = 90.00°, β = 90.00°, γ = 90.00°
With the nearest neighbours (Å) after each atom.
Space group Fm-3m (No. 225)
Symmetry-distinct sites (fractional):
1 Nd 0.0000 0.0000 0.0000 x4  24 B 3.07
2 B 0.1005 0.2500 0.2500 x48  5 B 1.68-1.77
3 Pb 0.0000 0.0000 0.5000 x4  24 B 3.07


[19]
## Nd3B2Rh9Pb (PBE-GGA)

Data for crystalline Nd3B2Rh9Pb at its relaxed geometry.

Output
Energy of formation, eV/f.u.: -7.2
D(E_F), states/eV/f.u.: 17.02
Raw total energy, eV per cell: -104.7

a = 5.9095 Å, b = 5.9095 Å, c = 9.0170 Å
α = 90.00°, β = 90.00°, γ = 120.00°
With the nearest neighbours (Å) after each atom.
Space group P-3m1 (No. 164)
Symmetry-distinct sites (fractional):
1 Nd 0.0000 0.0000 0.0000 x1  12 Rh 2.92-2.95
2 Nd 0.3333 0.6667 0.6767 x2  6 Rh 3.00
3 B 0.3333 0.6667 0.1420 x2  6 Rh 2.05-2.13
4 Rh 0.0000 0.5000 0.0000 x3  2 B 2.13
5 Rh 0.1644 0.3288 0.2644 x6  1 B 2.05
6 Pb 0.0000 0.0000 0.5000 x1  6 Rh 2.71


[20]
## NdBPd (PBE-GGA)

Data for crystalline NdBPd at its relaxed geometry.

Output
Energy of formation, eV/f.u.: -0.9
D(E_F), states/eV/f.u.: 1.97
Raw total energy, eV per cell: -70.3

a = 7.6644 Å, b = 3.2003 Å, c = 9.3435 Å
α = 90.00°, β = 104.00°, γ = 90.00°
With the nearest neighbours (Å) after each atom.
Space group C2/m (No. 12)
Symmetry-distinct sites (fractional):
1 Nd 0.0655 0.0000 0.2069 x4  6 B 2.79-3.04, 3 Pd 2.94-2.97
2 B 0.2275 0.5000 0.0012 x4  2 B 1.64
3 Pd 0.1693 0.0000 0.5819 x4  3 Pd 2.67-2.71, 3 Nd 2.94-2.97